# 1
# NdSm2Si4 (PBE-GGA, optimized geometry)
data_NdSm2Si4
_symmetry_space_group_name_H-M 'I m m m'
_symmetry_Int_Tables_number 71
_symmetry_space_group_name_Hall '-I 2 2'
_cell_length_a 3.930
_cell_length_b 4.391
_cell_length_c 17.813
_cell_angle_alpha 90.00
_cell_angle_beta 90.00
_cell_angle_gamma 90.00
loop_
_atom_site_label
_atom_site_type_symbol
_atom_site_fract_x
_atom_site_fract_y
_atom_site_fract_z
_atom_site_occupancy
Nd1 Nd 0.000 0.000 0.000 1
Sm1 Sm 0.000 0.500 0.318 1
Si1 Si 0.000 0.000 0.434 1
Si2 Si 0.000 0.500 0.147 1
# Electronic total energy ... -82.268 eV/cell
# Crystal system ... orthorhombic

# 2
# Nd3Sm3Si4 (PBE-GGA, optimized geometry)
data_Nd3Sm3Si4
_symmetry_space_group_name_H-M 'A m m 2'
_symmetry_Int_Tables_number 38
_symmetry_space_group_name_Hall 'A 2 -2'
_cell_length_a 4.286
_cell_length_b 10.916
_cell_length_c 11.011
_cell_angle_alpha 90.00
_cell_angle_beta 90.00
_cell_angle_gamma 90.00
loop_
_atom_site_label
_atom_site_type_symbol
_atom_site_fract_x
_atom_site_fract_y
_atom_site_fract_z
_atom_site_occupancy
Nd1 Nd 0.000 0.000 0.000 1
Nd2 Nd 0.500 0.247 0.074 1
Sm1 Sm 0.000 0.000 0.647 1
Sm2 Sm 0.000 0.176 0.326 1
Si1 Si 0.500 0.000 0.216 1
Si2 Si 0.500 0.000 0.439 1
Si3 Si 0.500 0.112 0.822 1
# Electronic total energy ... -112.986 eV/cell
# Crystal system ... orthorhombic

# 3
# Nd2SmSi (PBE-GGA, optimized geometry)
data_Nd2SmSi
_symmetry_space_group_name_H-M 'R -3 m'
_symmetry_Int_Tables_number 166
_symmetry_space_group_name_Hall '-R 3 2"'
_cell_length_a 3.7311
_cell_length_b 3.7311
_cell_length_c 33.0863
_cell_angle_alpha 90.00
_cell_angle_beta 90.00
_cell_angle_gamma 120.00
loop_
_atom_site_label
_atom_site_type_symbol
_atom_site_fract_x
_atom_site_fract_y
_atom_site_fract_z
_atom_site_occupancy
Nd1 Nd 0.0000 0.0000 0.1079 1
Sm1 Sm 0.0000 0.0000 0.0000 1
Si1 Si 0.0000 0.0000 0.5000 1
# Energy above the most stable polymorph in this dataset ... 292.2 meV per atom
# Crystal system ... trigonal

# 4
# NdSmSi2 (PBE-GGA, optimized geometry)
data_NdSmSi2
_symmetry_space_group_name_H-M 'R -3 m'
_symmetry_Int_Tables_number 166
_symmetry_space_group_name_Hall '-R 3 2"'
_cell_length_a 4.2758
_cell_length_b 4.2758
_cell_length_c 20.3010
_cell_angle_alpha 90.00
_cell_angle_beta 90.00
_cell_angle_gamma 120.00
loop_
_atom_site_label
_atom_site_type_symbol
_atom_site_fract_x
_atom_site_fract_y
_atom_site_fract_z
_atom_site_occupancy
Nd1 Nd 0.0000 0.0000 0.0000 1
Sm1 Sm 0.0000 0.0000 0.5000 1
Si1 Si 0.0000 0.0000 0.2485 1
# Energy above the most stable polymorph in this dataset ... 343.3 meV per atom
# Crystal system ... trigonal

# 5
# NdSmSi2 (PBE-GGA, optimized geometry)
data_NdSmSi2
_symmetry_space_group_name_H-M 'A m m 2'
_symmetry_Int_Tables_number 38
_symmetry_space_group_name_Hall 'A 2 -2'
_cell_length_a 3.923
_cell_length_b 4.435
_cell_length_c 10.893
_cell_angle_alpha 90.00
_cell_angle_beta 90.00
_cell_angle_gamma 90.00
loop_
_atom_site_label
_atom_site_type_symbol
_atom_site_fract_x
_atom_site_fract_y
_atom_site_fract_z
_atom_site_occupancy
Nd1 Nd 0.000 0.000 0.000 1
Sm1 Sm 0.500 0.000 0.720 1
Si1 Si 0.000 0.000 0.286 1
Si2 Si 0.500 0.000 0.431 1
# Energy above the most stable polymorph in this dataset ... 2.3 meV per atom
# Crystal system ... orthorhombic

# 6
# NdSmSi2 (PBE-GGA, optimized geometry)
data_NdSmSi2
_symmetry_space_group_name_H-M 'P m c 21'
_symmetry_Int_Tables_number 26
_symmetry_space_group_name_Hall 'P 2c -2'
_cell_length_a 3.927
_cell_length_b 5.881
_cell_length_c 8.194
_cell_angle_alpha 90.00
_cell_angle_beta 90.00
_cell_angle_gamma 90.00
loop_
_atom_site_label
_atom_site_type_symbol
_atom_site_fract_x
_atom_site_fract_y
_atom_site_fract_z
_atom_site_occupancy
Nd1 Nd 0.000 0.135 0.000 1
Sm1 Sm 0.500 0.364 0.640 1
Si1 Si 0.000 0.375 0.356 1
Si2 Si 0.500 0.129 0.285 1
# Energy above the most stable polymorph in this dataset ... 0.0 meV per atom
# Crystal system ... orthorhombic

# 7
# NdSmSi (PBE-GGA, optimized geometry)
data_NdSmSi
_symmetry_space_group_name_H-M 'P -1'
_symmetry_Int_Tables_number 2
_symmetry_space_group_name_Hall '-P 1'
_cell_length_a 4.265
_cell_length_b 6.048
_cell_length_c 7.205
_cell_angle_alpha 77.82
_cell_angle_beta 72.80
_cell_angle_gamma 69.38
loop_
_atom_site_label
_atom_site_type_symbol
_atom_site_fract_x
_atom_site_fract_y
_atom_site_fract_z
_atom_site_occupancy
Nd1 Nd 0.173 0.228 0.428 1
Sm1 Sm 0.415 0.308 0.862 1
Si1 Si 0.120 0.910 0.849 1
# Energy above the most stable polymorph in this dataset ... 1.0 meV per atom
# Crystal system ... triclinic

# 8
# NdSmSi (PBE-GGA, optimized geometry)
data_NdSmSi
_symmetry_space_group_name_H-M 'F -4 3 m'
_symmetry_Int_Tables_number 216
_symmetry_space_group_name_Hall 'F -4 2 3'
_cell_length_a 7.066
_cell_length_b 7.066
_cell_length_c 7.066
_cell_angle_alpha 90.00
_cell_angle_beta 90.00
_cell_angle_gamma 90.00
loop_
_atom_site_label
_atom_site_type_symbol
_atom_site_fract_x
_atom_site_fract_y
_atom_site_fract_z
_atom_site_occupancy
Nd1 Nd 0.000 0.000 0.000 1
Sm1 Sm 0.000 0.000 0.500 1
Si1 Si 0.250 0.250 0.250 1
# Energy above the most stable polymorph in this dataset ... 41.1 meV per atom
# Crystal system ... cubic

# 9
# Nd2SmSi (PBE-GGA, optimized geometry)
data_Nd2SmSi
_symmetry_space_group_name_H-M 'P 4/m m m'
_symmetry_Int_Tables_number 123
_symmetry_space_group_name_Hall '-P 4 2'
_cell_length_a 4.753
_cell_length_b 4.753
_cell_length_c 4.785
_cell_angle_alpha 90.00
_cell_angle_beta 90.00
_cell_angle_gamma 90.00
loop_
_atom_site_label
_atom_site_type_symbol
_atom_site_fract_x
_atom_site_fract_y
_atom_site_fract_z
_atom_site_occupancy
Nd1 Nd 0.000 0.500 0.000 1
Sm1 Sm 0.000 0.000 0.500 1
Si1 Si 0.500 0.500 0.500 1
# Energy above the most stable polymorph in this dataset ... 0.0 meV per atom
# Crystal system ... tetragonal

# 10
# Nd3Sm2Si4 (PBE-GGA, optimized geometry)
data_Nd3Sm2Si4
_symmetry_space_group_name_H-M 'P 1 21/c 1'
_symmetry_Int_Tables_number 14
_symmetry_space_group_name_Hall '-P 2ybc'
_cell_length_a 7.823
_cell_length_b 7.882
_cell_length_c 7.795
_cell_angle_alpha 90.00
_cell_angle_beta 104.58
_cell_angle_gamma 90.00
loop_
_atom_site_label
_atom_site_type_symbol
_atom_site_fract_x
_atom_site_fract_y
_atom_site_fract_z
_atom_site_occupancy
Nd1 Nd 0.000 0.000 0.000 1
Nd2 Nd 0.262 0.183 0.745 1
Sm1 Sm 0.291 0.688 0.896 1
Si1 Si 0.007 0.615 0.115 1
Si2 Si 0.414 0.022 0.108 1
# Electronic total energy ... -102.949 eV/cell
# Crystal system ... monoclinic

# 11
# NdSmSi (PBE-GGA, optimized geometry)
data_NdSmSi
_symmetry_space_group_name_H-M 'P -6 2 m'
_symmetry_Int_Tables_number 189
_symmetry_space_group_name_Hall 'P -6 -2'
_cell_length_a 8.0461
_cell_length_b 8.0461
_cell_length_c 4.3092
_cell_angle_alpha 90.00
_cell_angle_beta 90.00
_cell_angle_gamma 120.00
loop_
_atom_site_label
_atom_site_type_symbol
_atom_site_fract_x
_atom_site_fract_y
_atom_site_fract_z
_atom_site_occupancy
Nd1 Nd 0.0000 0.7358 0.0000 1
Sm1 Sm 0.0000 0.4118 0.5000 1
Si1 Si 0.0000 0.0000 0.5000 1
Si2 Si 0.3333 0.6667 0.0000 1
# Energy above the most stable polymorph in this dataset ... 0.0 meV per atom
# Crystal system ... hexagonal

# 12
# NdSmSi3 (PBE-GGA, optimized geometry)
data_NdSmSi3
_symmetry_space_group_name_H-M 'C m c m'
_symmetry_Int_Tables_number 63
_symmetry_space_group_name_Hall '-C 2c 2'
_cell_length_a 4.318
_cell_length_b 24.869
_cell_length_c 4.003
_cell_angle_alpha 90.00
_cell_angle_beta 90.00
_cell_angle_gamma 90.00
loop_
_atom_site_label
_atom_site_type_symbol
_atom_site_fract_x
_atom_site_fract_y
_atom_site_fract_z
_atom_site_occupancy
Nd1 Nd 0.000 0.069 0.250 1
Sm1 Sm 0.000 0.202 0.750 1
Si1 Si 0.000 0.324 0.750 1
Si2 Si 0.000 0.381 0.250 1
Si3 Si 0.000 0.475 0.250 1
# Electronic total energy ... -116.941 eV/cell
# Crystal system ... orthorhombic

# 13
# Nd4SmSi4 (PBE-GGA, optimized geometry)
data_Nd4SmSi4
_symmetry_space_group_name_H-M 'P 42/n'
_symmetry_Int_Tables_number 86
_cell_length_a 9.066
_cell_length_b 9.066
_cell_length_c 6.032
_cell_angle_alpha 90.00
_cell_angle_beta 90.00
_cell_angle_gamma 90.00
loop_
_symmetry_equiv_pos_as_xyz
'x,y,z'
'-x,-y,-z'
'-y,x+1/2,z+1/2'
'y,-x+1/2,-z+1/2'
'-x+1/2,-y+1/2,z'
'x+1/2,y+1/2,-z'
'y+1/2,-x,z+1/2'
'-y+1/2,x,-z+1/2'
loop_
_atom_site_label
_atom_site_type_symbol
_atom_site_fract_x
_atom_site_fract_y
_atom_site_fract_z
_atom_site_occupancy
Nd1 Nd 0.054 0.670 0.116 1
Sm1 Sm 0.250 0.250 0.250 1
Si1 Si 0.014 0.616 0.604 1
# Electronic total energy ... -99.136 eV/cell
# Crystal system ... tetragonal

# 14
# NdSmSi (PBE-GGA, optimized geometry)
data_NdSmSi
_symmetry_space_group_name_H-M 'P 3 m 1'
_symmetry_Int_Tables_number 156
_symmetry_space_group_name_Hall 'P 3 -2"'
_cell_length_a 4.7247
_cell_length_b 4.7247
_cell_length_c 4.2825
_cell_angle_alpha 90.00
_cell_angle_beta 90.00
_cell_angle_gamma 120.00
loop_
_atom_site_label
_atom_site_type_symbol
_atom_site_fract_x
_atom_site_fract_y
_atom_site_fract_z
_atom_site_occupancy
Nd1 Nd 0.0000 0.0000 0.0000 1
Sm1 Sm 0.6667 0.3333 0.5429 1
Si1 Si 0.3333 0.6667 0.3272 1
# Energy above the most stable polymorph in this dataset ... 197.2 meV per atom
# Crystal system ... trigonal

# 15
# NdSmSi4 (PBE-GGA, optimized geometry)
data_NdSmSi4
_symmetry_space_group_name_H-M 'I -4 m 2'
_symmetry_Int_Tables_number 119
_symmetry_space_group_name_Hall 'I -4 -2'
_cell_length_a 4.250
_cell_length_b 4.250
_cell_length_c 13.625
_cell_angle_alpha 90.00
_cell_angle_beta 90.00
_cell_angle_gamma 90.00
loop_
_atom_site_label
_atom_site_type_symbol
_atom_site_fract_x
_atom_site_fract_y
_atom_site_fract_z
_atom_site_occupancy
Nd1 Nd 0.000 0.000 0.000 1
Sm1 Sm 0.000 0.500 0.250 1
Si1 Si 0.000 0.000 0.414 1
Si2 Si 0.000 0.500 0.665 1
# Electronic total energy ... -69.414 eV/cell
# Crystal system ... tetragonal

# 16
# Nd2Sm3Si4 (PBE-GGA, optimized geometry)
data_Nd2Sm3Si4
_symmetry_space_group_name_H-M 'P 1 21/c 1'
_symmetry_Int_Tables_number 14
_symmetry_space_group_name_Hall '-P 2ybc'
_cell_length_a 7.823
_cell_length_b 7.883
_cell_length_c 7.700
_cell_angle_alpha 90.00
_cell_angle_beta 105.59
_cell_angle_gamma 90.00
loop_
_atom_site_label
_atom_site_type_symbol
_atom_site_fract_x
_atom_site_fract_y
_atom_site_fract_z
_atom_site_occupancy
Nd1 Nd 0.204 0.183 0.095 1
Sm1 Sm 0.241 0.682 0.255 1
Sm2 Sm 0.500 0.000 0.500 1
Si1 Si 0.082 0.527 0.887 1
Si2 Si 0.493 0.116 0.882 1
# Electronic total energy ... -103.544 eV/cell
# Crystal system ... monoclinic

# 17
# Nd2SmSi4 (PBE-GGA, optimized geometry)
data_Nd2SmSi4
_symmetry_space_group_name_H-M 'I m m m'
_symmetry_Int_Tables_number 71
_symmetry_space_group_name_Hall '-I 2 2'
_cell_length_a 3.945
_cell_length_b 4.409
_cell_length_c 17.925
_cell_angle_alpha 90.00
_cell_angle_beta 90.00
_cell_angle_gamma 90.00
loop_
_atom_site_label
_atom_site_type_symbol
_atom_site_fract_x
_atom_site_fract_y
_atom_site_fract_z
_atom_site_occupancy
Nd1 Nd 0.000 0.000 0.182 1
Sm1 Sm 0.000 0.500 0.500 1
Si1 Si 0.000 0.000 0.355 1
Si2 Si 0.000 0.500 0.065 1
# Electronic total energy ... -81.986 eV/cell
# Crystal system ... orthorhombic

# 18
# NdSm2Si2 (PBE-GGA, optimized geometry)
data_NdSm2Si2
_symmetry_space_group_name_H-M 'P 4/m b m'
_symmetry_Int_Tables_number 127
_symmetry_space_group_name_Hall '-P 4 2ab'
_cell_length_a 7.745
_cell_length_b 7.745
_cell_length_c 4.264
_cell_angle_alpha 90.00
_cell_angle_beta 90.00
_cell_angle_gamma 90.00
loop_
_atom_site_label
_atom_site_type_symbol
_atom_site_fract_x
_atom_site_fract_y
_atom_site_fract_z
_atom_site_occupancy
Nd1 Nd 0.000 0.000 0.000 1
Sm1 Sm 0.176 0.324 0.500 1
Si1 Si 0.112 0.612 0.000 1
# Energy above the most stable polymorph in this dataset ... 0.0 meV per atom
# Crystal system ... tetragonal

# 19
# NdSm2Zn2Si2 (PBE-GGA, optimized geometry)
data_NdSm2Zn2Si2
_symmetry_space_group_name_H-M 'R -3 m'
_symmetry_Int_Tables_number 166
_symmetry_space_group_name_Hall '-R 3 2"'
_cell_length_a 4.1204
_cell_length_b 4.1204
_cell_length_c 34.5040
_cell_angle_alpha 90.00
_cell_angle_beta 90.00
_cell_angle_gamma 120.00
loop_
_atom_site_label
_atom_site_type_symbol
_atom_site_fract_x
_atom_site_fract_y
_atom_site_fract_z
_atom_site_occupancy
Nd1 Nd 0.0000 0.0000 0.0000 1
Sm1 Sm 0.0000 0.0000 0.1217 1
Zn1 Zn 0.0000 0.0000 0.3950 1
Si1 Si 0.0000 0.0000 0.2704 1
# Electronic total energy ... -92.688 eV/cell
# Crystal system ... trigonal

# 20
# Nd2SmZn2Si2 (PBE-GGA, optimized geometry)
data_Nd2SmZn2Si2
_symmetry_space_group_name_H-M 'R -3 m'
_symmetry_Int_Tables_number 166
_symmetry_space_group_name_Hall '-R 3 2"'
_cell_length_a 4.1231
_cell_length_b 4.1231
_cell_length_c 34.6856
_cell_angle_alpha 90.00
_cell_angle_beta 90.00
_cell_angle_gamma 120.00
loop_
_atom_site_label
_atom_site_type_symbol
_atom_site_fract_x
_atom_site_fract_y
_atom_site_fract_z
_atom_site_occupancy
Nd1 Nd 0.0000 0.0000 0.1208 1
Sm1 Sm 0.0000 0.0000 0.0000 1
Zn1 Zn 0.0000 0.0000 0.3937 1
Si1 Si 0.0000 0.0000 0.2729 1
# Electronic total energy ... -92.991 eV/cell
# Crystal system ... trigonal

# 21
# NdSiSn (PBE-GGA, optimized geometry)
data_NdSiSn
_symmetry_space_group_name_H-M 'I 4 m m'
_symmetry_Int_Tables_number 107
_symmetry_space_group_name_Hall 'I 4 -2'
_cell_length_a 4.348
_cell_length_b 4.348
_cell_length_c 8.614
_cell_angle_alpha 90.00
_cell_angle_beta 90.00
_cell_angle_gamma 90.00
loop_
_atom_site_label
_atom_site_type_symbol
_atom_site_fract_x
_atom_site_fract_y
_atom_site_fract_z
_atom_site_occupancy
Nd1 Nd 0.000 0.000 0.000 1
Si1 Si 0.000 0.000 0.350 1
Sn1 Sn 0.000 0.000 0.644 1
# Electronic total energy ... -29.695 eV/cell
# Crystal system ... tetragonal

# 22
# Nd12Si5Sn (PBE-GGA, optimized geometry)
data_Nd12Si5Sn
_symmetry_space_group_name_H-M 'I m m m'
_symmetry_Int_Tables_number 71
_symmetry_space_group_name_Hall '-I 2 2'
_cell_length_a 9.758
_cell_length_b 9.970
_cell_length_c 10.610
_cell_angle_alpha 90.00
_cell_angle_beta 90.00
_cell_angle_gamma 90.00
loop_
_atom_site_label
_atom_site_type_symbol
_atom_site_fract_x
_atom_site_fract_y
_atom_site_fract_z
_atom_site_occupancy
Nd1 Nd 0.000 0.199 0.230 1
Nd2 Nd 0.206 0.500 0.180 1
Nd3 Nd 0.229 0.318 0.500 1
Si1 Si 0.000 0.000 0.000 1
Si2 Si 0.000 0.378 0.000 1
Si3 Si 0.000 0.500 0.388 1
Sn1 Sn 0.000 0.000 0.500 1
# Electronic total energy ... -195.920 eV/cell
# Crystal system ... orthorhombic

# 23
# Nd4SiSn (PBE-GGA, optimized geometry)
data_Nd4SiSn
_symmetry_space_group_name_H-M 'C 1 2/c 1'
_symmetry_Int_Tables_number 15
_symmetry_space_group_name_Hall '-C 2yc'
_cell_length_a 16.518
_cell_length_b 5.896
_cell_length_c 7.978
_cell_angle_alpha 90.00
_cell_angle_beta 106.82
_cell_angle_gamma 90.00
loop_
_atom_site_label
_atom_site_type_symbol
_atom_site_fract_x
_atom_site_fract_y
_atom_site_fract_z
_atom_site_occupancy
Nd1 Nd 0.076 0.130 0.454 1
Nd2 Nd 0.170 0.376 0.132 1
Si1 Si 0.250 0.250 0.500 1
Sn1 Sn 0.000 0.374 0.750 1
# Electronic total energy ... -123.056 eV/cell
# Crystal system ... monoclinic

# 24
# NdSiSn (PBE-GGA, optimized geometry)
data_NdSiSn
_symmetry_space_group_name_H-M 'P 3 m 1'
_symmetry_Int_Tables_number 156
_symmetry_space_group_name_Hall 'P 3 -2"'
_cell_length_a 4.6268
_cell_length_b 4.6268
_cell_length_c 4.0756
_cell_angle_alpha 90.00
_cell_angle_beta 90.00
_cell_angle_gamma 120.00
loop_
_atom_site_label
_atom_site_type_symbol
_atom_site_fract_x
_atom_site_fract_y
_atom_site_fract_z
_atom_site_occupancy
Nd1 Nd 0.0000 0.0000 0.0000 1
Si1 Si 0.6667 0.3333 0.5054 1
Sn1 Sn 0.3333 0.6667 0.4970 1
# Electronic total energy ... -15.320 eV/cell
# Crystal system ... trigonal